#i
First-principles (PBE) data for a relaxed SmThTe crystal, as listed in Alexandria.

a b c (Å): 3.8635 3.8635 6.9436
angles (deg): 106.15 106.15 90.00
Closest atoms and distances in Å follow each position.
Atoms (fractional coordinates):
1 Te 0.6676 0.6676 0.3352  4 Sm 3.31, 4 Th 3.33
2 Sm 0.3142 0.3142 0.6285  4 Te 3.31
3 Th 0.0182 0.0182 0.0364  4 Te 3.33

Output
crystal system = tetragonal
total magnetization = 0.00 μB per formula unit
DOS at the Fermi energy = 4.0 states/eV/cell
space group = I4mm (107)

#ii
First-principles (PBE) data for a relaxed SmThTe crystal, as listed in Alexandria.

a b c (Å): 3.9024 3.9024 14.7864
angles (deg): 90.00 90.00 120.00
Closest atoms and distances in Å follow each position.
Atoms (fractional coordinates):
1 Th 0.0000 0.0000 0.0000  6 Sm 3.66, 6 Th 3.90
2 Th 0.3333 0.6667 0.5000  6 Te 3.20
3 Te 0.0000 0.0000 0.3460  3 Sm 3.17, 3 Th 3.20
4 Te 0.0000 0.0000 0.6540  3 Sm 3.17, 3 Th 3.20
5 Sm 0.3333 0.6667 0.8050  3 Te 3.17
6 Sm 0.3333 0.6667 0.1950  3 Te 3.17

Output
crystal system = hexagonal
total magnetization = 0.00 μB per formula unit
DOS at the Fermi energy = 8.6 states/eV/cell
space group = P-6m2 (187)

Q: Which of them is the most stable? A: #ii.

#i
First-principles (PBE) data for a relaxed SmThTe crystal, as listed in Alexandria.

a b c (Å): 4.2966 4.2966 10.5335
angles (deg): 90.00 90.00 90.00
Closest atoms and distances in Å follow each position.
Atoms (fractional coordinates):
1 Sm 0.5000 0.0000 0.7004  5 Te 3.16-3.36
2 Sm 0.0000 0.5000 0.2996  5 Te 3.16-3.36
3 Th 0.0000 0.5000 0.9323  1 Te 3.30, 4 Th 3.36
4 Th 0.5000 0.0000 0.0677  1 Te 3.30, 4 Th 3.36
5 Te 0.0000 0.5000 0.6187  5 Sm 3.16-3.36, 1 Th 3.30
6 Te 0.5000 0.0000 0.3813  5 Sm 3.16-3.36, 1 Th 3.30

Output
crystal system = tetragonal
total magnetization = 0.00 μB per formula unit
DOS at the Fermi energy = 5.9 states/eV/cell
space group = P4/nmm (129)

#ii
First-principles (PBE) data for a relaxed SmThTe crystal, as listed in Alexandria.

a b c (Å): 3.8305 5.3214 5.3214
angles (deg): 120.00 90.00 90.00
Closest atoms and distances in Å follow each position.
Atoms (fractional coordinates):
1 Te 0.8337 0.0000 0.0000  3 Sm 3.07
2 Sm 0.8331 0.6667 0.3333  3 Te 3.07
3 Th 0.3332 0.3333 0.6667  6 Te 3.62, 6 Sm 3.62, 2 Th 3.83

Output
crystal system = hexagonal
total magnetization = 0.00 μB per formula unit
DOS at the Fermi energy = 3.1 states/eV/cell
space group = P-6m2 (187)

Q: Which of them is the most stable? A: #i.

#i
First-principles (PBE) data for a relaxed SmTh3Te4 crystal, as listed in Alexandria.

a b c (Å): 4.4642 4.4642 12.5962
angles (deg): 90.00 90.00 90.00
Closest atoms and distances in Å follow each position.
Atoms (fractional coordinates):
1 Te 0.0000 0.0000 0.2477  1 Sm 3.12, 5 Th 3.16-3.18
2 Te 0.5000 0.5000 0.0000  4 Sm 3.16, 2 Th 3.17
3 Te 0.0000 0.0000 0.7523  1 Sm 3.12, 5 Th 3.16-3.18
4 Te 0.5000 0.5000 0.5000  6 Th 3.13-3.16
5 Th 0.5000 0.5000 0.7481  6 Te 3.13-3.17
6 Th 0.0000 0.0000 0.5000  6 Te 3.16-3.18
7 Th 0.5000 0.5000 0.2519  6 Te 3.13-3.17
8 Sm 0.0000 0.0000 0.0000  6 Te 3.12-3.16

Output
crystal system = tetragonal
total magnetization = 0.00 μB per formula unit
DOS at the Fermi energy = 4.8 states/eV/cell
space group = P4/mmm (123)

#ii
First-principles (PBE) data for a relaxed SmTh3Te4 crystal, as listed in Alexandria.

a b c (Å): 4.5379 7.6797 7.6797
angles (deg): 110.35 90.00 90.00
Closest atoms and distances in Å follow each position.
Atoms (fractional coordinates):
1 Sm 0.5000 0.0000 0.0000  6 Te 3.12-3.13
2 Th 0.0000 0.0000 0.5000  6 Te 3.15-3.16
3 Th 0.5000 0.5000 0.5000  6 Te 3.18
4 Th 0.0000 0.5000 0.0000  6 Te 3.15-3.16
5 Te 0.0000 0.2458 0.2458  2 Sm 3.13, 4 Th 3.15-3.18
6 Te 0.5000 0.7523 0.2477  1 Sm 3.12, 5 Th 3.16-3.18
7 Te 0.0000 0.7542 0.7542  2 Sm 3.13, 4 Th 3.15-3.18
8 Te 0.5000 0.2477 0.7523  1 Sm 3.12, 5 Th 3.16-3.18

Output
crystal system = orthorhombic
total magnetization = 0.00 μB per formula unit
DOS at the Fermi energy = 6.2 states/eV/cell
space group = Cmmm (65)

Q: Which of them is the most stable? A: #i.

#i
First-principles (PBE) data for a relaxed SmTh2Te4 crystal, as listed in Alexandria.

a b c (Å): 6.6003 6.6003 6.6003
angles (deg): 109.60 109.41 109.41
Closest atoms and distances in Å follow each position.
Atoms (fractional coordinates):
1 Sm 0.0000 0.0000 0.0000  8 Te 3.30
2 Th 0.5000 0.5000 0.0000  8 Te 3.30
3 Th 0.5000 0.0000 0.5000  8 Te 3.30
4 Te 0.5000 0.0000 0.0000  2 Sm 3.30, 4 Th 3.30
5 Te 0.5000 0.5000 0.5000  4 Th 3.30, 2 Sm 3.30
6 Te 0.0000 0.0000 0.5000  4 Th 3.30, 2 Sm 3.30
7 Te 0.0000 0.5000 0.0000  4 Th 3.30, 2 Sm 3.30

Output
crystal system = tetragonal
total magnetization = 0.00 μB per formula unit
DOS at the Fermi energy = 2.8 states/eV/cell
space group = I4/mmm (139)

#ii
First-principles (PBE) data for a relaxed SmTh2Te4 crystal, as listed in Alexandria.

a b c (Å): 4.2174 7.3867 15.9304
angles (deg): 90.00 90.00 106.59
Closest atoms and distances in Å follow each position.
Atoms (fractional coordinates):
1 Sm 0.6051 0.2102 0.7500  6 Te 3.15-3.16
2 Sm 0.3949 0.7898 0.2500  6 Te 3.15-3.16
3 Th 0.1494 0.2989 0.4380  6 Te 3.15-3.24
4 Th 0.8506 0.7011 0.9380  6 Te 3.15-3.24
5 Th 0.1494 0.2989 0.0620  6 Te 3.15-3.24
6 Th 0.8506 0.7011 0.5620  6 Te 3.15-3.24
7 Te 0.7965 0.5930 0.1319  2 Sm 3.15, 3 Th 3.17-3.18
8 Te 0.7965 0.5930 0.3681  2 Sm 3.15, 3 Th 3.17-3.18
9 Te 0.2035 0.4070 0.8681  2 Sm 3.15, 3 Th 3.17-3.18
10 Te 0.2035 0.4070 0.6319  2 Sm 3.15, 3 Th 3.17-3.18
11 Te 0.9386 0.8772 0.7500  2 Sm 3.16, 2 Th 3.24
12 Te 0.0614 0.1228 0.2500  2 Sm 3.16, 2 Th 3.24
13 Te 0.5000 0.0000 0.0000  4 Th 3.15
14 Te 0.5000 0.0000 0.5000  4 Th 3.15

Output
crystal system = orthorhombic
total magnetization = 0.00 μB per formula unit
DOS at the Fermi energy = 10.2 states/eV/cell
space group = Cmcm (63)

Q: Which of them is the most stable? A: #ii.